A relaxed Na2SrZrSe4 crystal. Source: Alexandria, functional GGA-PBE.

Properties
* space group: P2/m (10)
* total energy: -4.79 eV/atom
* raw formation energy: -1.439 eV per atom

a b c (Å): 4.1252 7.3657 7.3702
angles (deg): 108.54 90.00 90.00
Positions (direct):
Na 0.5000 0.0000 0.5000
Na 0.0000 0.5000 0.5000
Sr 0.5000 0.5000 0.0000
Zr 0.0000 0.0000 0.0000
Se 0.5000 0.2160 0.2234
Se 0.5000 0.7840 0.7766
Se 0.0000 0.2202 0.7681
Se 0.0000 0.7798 0.2319